DFT (PBE+U) results for a relaxed Na2CoRh3F12 crystal.

```
data_Na2CoRh3F12
_chemical_formula_sum 'Na2 Co1 Rh3 F12'
_cell_length_a 7.476
_cell_length_b 7.476
_cell_length_c 7.476
_cell_angle_alpha 60.14
_cell_angle_beta 60.14
_cell_angle_gamma 60.14
_symmetry_space_group_name_H-M 'P 1'
_symmetry_Int_Tables_number 1
loop_
_symmetry_equiv_pos_as_xyz
'x,y,z'
loop_
_atom_site_label
_atom_site_fract_x
_atom_site_fract_y
_atom_site_fract_z
_atom_site_occupancy
Na1 0.201 0.201 0.201 1
Na2 0.799 0.799 0.799 1
Co1 0.500 0.500 0.500 1
Rh1 0.000 0.500 0.500 1
Rh2 0.500 0.000 0.500 1
Rh3 0.500 0.500 0.000 1
F1 0.172 0.172 0.558 1
F2 0.172 0.558 0.172 1
F3 0.173 0.577 0.577 1
F4 0.423 0.423 0.827 1
F5 0.423 0.827 0.423 1
F6 0.442 0.828 0.828 1
F7 0.558 0.172 0.172 1
F8 0.577 0.173 0.577 1
F9 0.577 0.577 0.173 1
F10 0.827 0.423 0.423 1
F11 0.828 0.442 0.828 1
F12 0.828 0.828 0.442 1
```

- symmetry = R-3m
- size of the total moment (μB per atom) = 0.109
- calculated total energy (eV/atom) = -4.668